# 1
This record from the Open Quantum Materials Database describes a geometry-optimized CsLuPdSe3 structure. The functional is PBE.

```
CsLuPdSe3
1.0
-10.790 1.094 12.385
-2.429 -2.753 -1.873
5.082 -7.977 5.132
Cs Lu Pd Se
4 4 4 12
direct
0.738 0.250 0.037 Cs
0.238 0.250 0.463 Cs
0.762 0.750 0.537 Cs
0.262 0.750 0.963 Cs
0.021 0.250 0.155 Lu
0.521 0.250 0.345 Lu
0.479 0.750 0.655 Lu
0.979 0.750 0.845 Lu
0.506 0.750 0.089 Pd
0.006 0.750 0.411 Pd
0.994 0.250 0.589 Pd
0.494 0.250 0.911 Pd
0.912 0.750 0.080 Se
0.423 0.250 0.121 Se
0.122 0.750 0.243 Se
0.622 0.750 0.257 Se
0.923 0.250 0.379 Se
0.412 0.750 0.420 Se
0.588 0.250 0.580 Se
0.077 0.750 0.621 Se
0.378 0.250 0.743 Se
0.878 0.250 0.757 Se
0.577 0.750 0.879 Se
0.088 0.250 0.920 Se
```

Properties
spin magnetization	0.00	μB per atom



# 2
This record from the Open Quantum Materials Database describes a geometry-optimized CsLuPdSe3 structure. The functional is PBE.

```
CsLuPdSe3
1.0
-5.688 -5.501 5.343
0.138 -2.946 -2.887
9.858 -1.428 1.929
Cs Lu Pd Se
2 2 2 6
direct
0.280 0.250 0.251 Cs
0.720 0.750 0.749 Cs
0.825 0.250 0.365 Lu
0.175 0.750 0.635 Lu
0.581 0.750 0.094 Pd
0.419 0.250 0.906 Pd
0.705 0.250 0.055 Se
0.018 0.750 0.340 Se
0.624 0.750 0.366 Se
0.376 0.250 0.634 Se
0.982 0.250 0.660 Se
0.295 0.750 0.945 Se
```

Properties
spin magnetization	0.01	μB per atom



# 3
This record from the Open Quantum Materials Database describes a geometry-optimized CsLuPdSe3 structure. The functional is PBE.

```
CsLuPdSe3
1.0
3.363 5.375 -6.171
-4.978 -6.835 2.603
-7.749 6.038 1.036
Cs Lu Pd Se
2 2 2 6
direct
0.255 0.745 0.250 Cs
0.745 0.255 0.750 Cs
0.500 0.500 0.000 Lu
0.500 0.500 0.500 Lu
0.995 0.005 0.250 Pd
0.005 0.995 0.750 Pd
0.894 0.106 0.068 Se
0.584 0.416 0.250 Se
0.894 0.106 0.432 Se
0.106 0.894 0.568 Se
0.416 0.584 0.750 Se
0.106 0.894 0.932 Se
```

Properties
spin magnetization	0.00	μB per atom



no.,E above lowest polymorph (eV/f.u.)
1,0.00
2,0.00
3,0.01